No. 1
The following is a DFT calculation (PBE-GGA) of an optimized crystal structure of Ta3V8Zn.

## Properties
Energy relative to the elements   0.014 eV/atom
Space group   R3m (160)
Size of the total moment   0.0 μB per cell
Theoretical density   9.41 g cm⁻³

a = 5.0127 Å, b = 5.0127 Å, c = 8.7330 Å
α = 73.32°, β = 73.32°, γ = 60.00°
Atoms (fractional coordinates):
Ta 0.3751 0.3751 0.8746
Ta 0.0002 0.0002 0.9993
Ta 0.4989 0.4989 0.5033
V 0.9376 0.4381 0.1861
V 0.4330 0.9398 0.6873
V 0.4381 0.4381 0.1861
V 0.9398 0.9398 0.6873
V 0.1865 0.1865 0.4406
V 0.6881 0.6881 0.9356
V 0.4381 0.9376 0.1861
V 0.9398 0.4330 0.6873
Zn 0.8746 0.8746 0.3763

---

No. 2
The following is a DFT calculation (PBE-GGA) of an optimized crystal structure of Ta2VZn.

## Properties
Energy relative to the elements   0.629 eV/atom
Space group   I-42d (122)
Size of the total moment   0.0 μB per cell
Theoretical density   11.54 g cm⁻³

a = 7.1463 Å, b = 7.1463 Å, c = 5.7271 Å
α = 51.40°, β = 51.40°, γ = 90.00°
Atoms (fractional coordinates):
Zn 0.0000 0.0000 0.0000
Zn 0.7500 0.2500 0.5000
Ta 0.6225 0.1250 0.2500
Ta 0.1275 0.6250 0.2500
Ta 0.3750 0.3775 0.7500
Ta 0.8750 0.8725 0.7500
V 0.5000 0.5000 0.0000
V 0.2500 0.7500 0.5000

---

No. 3
The following is a DFT calculation (PBE-GGA) of an optimized crystal structure of TaV2Zn2.

## Properties
Energy relative to the elements   0.244 eV/atom
Space group   I4/mmm (139)
Size of the total moment   0.0 μB per cell
Distance to the lowest polymorph of the same formula   0.067 eV/atom
Theoretical density   9.14 g cm⁻³

a = 3.5508 Å, b = 3.5508 Å, c = 6.4667 Å
α = 74.07°, β = 74.07°, γ = 90.00°
Atoms (fractional coordinates):
Zn 0.4030 0.4030 0.1939
Zn 0.5970 0.5970 0.8061
Ta 0.0000 0.0000 0.0000
V 0.7500 0.2500 0.5000
V 0.2500 0.7500 0.5000

---

No. 4
The following is a DFT calculation (PBE-GGA) of an optimized crystal structure of Ta2V2Zn.

## Properties
Energy relative to the elements   0.232 eV/atom
Space group   P4/mbm (127)
Size of the total moment   0.0 μB per cell
Theoretical density   10.88 g cm⁻³

a = 6.7809 Å, b = 6.7809 Å, c = 3.5135 Å
α = 90.00°, β = 90.00°, γ = 90.00°
Atoms (fractional coordinates):
Zn 0.0000 0.0000 0.0000
Zn 0.5000 0.5000 0.0000
Ta 0.1746 0.6746 0.5000
Ta 0.6746 0.8254 0.5000
Ta 0.8254 0.3254 0.5000
Ta 0.3254 0.1746 0.5000
V 0.3746 0.8746 0.0000
V 0.8746 0.6254 0.0000
V 0.6254 0.1254 0.0000
V 0.1254 0.3746 0.0000